A plane-wave DFT calculation with PBE was carried out for an optimized crystal structure of LaMnTl2.

## Properties
Theoretical density in g/cm3: 9.37
Density of states at the Fermi level in states/eV/cell: 3.0
Crystal system: tetragonal
ΔH_f (0 K) in meV per atom: 121.0

Lattice parameters (Å, degrees): 3.6582 3.6582 7.9767 90.00 90.00 90.00
Space group P4mm (No. 99)
One atom of each set of equivalent atoms:
La: 0.0000 0.0000 0.0000 x1
Mn: 0.5000 0.5000 0.2478 x1
Tl: 0.0000 0.0000 0.4351 x1
Tl: 0.5000 0.5000 0.6982 x1


A plane-wave DFT calculation with PBE was carried out for an optimized crystal structure of PrNdSmTm3.

## Properties
Theoretical density in g/cm3: 7.98
Density of states at the Fermi level in states/eV/cell: 46.8
Crystal system: orthorhombic
ΔH_f (0 K) in meV per atom: 110.7

Lattice parameters (Å, degrees): 5.8812 11.3297 11.7731 90.00 90.00 90.00
Space group Cmcm (No. 63)
One atom of each set of equivalent atoms:
Pr: 0.0000 0.0000 0.0000 x4
Nd: 0.0000 0.4937 0.2500 x4
Sm: 0.0000 0.1778 0.2500 x4
Tm: 0.0000 0.1692 0.7500 x4
Tm: 0.0000 0.3282 0.5057 x8


A plane-wave DFT calculation with PBE was carried out for an optimized crystal structure of NbTcP2.

## Properties
Theoretical density in g/cm3: 6.78
Energy above the most stable polymorph in this dataset in kcal/mol of atoms: 0.00
Density of states at the Fermi level in states/eV/cell: 6.2
Crystal system: trigonal
ΔH_f (0 K) in meV per atom: -518.0

Lattice parameters (Å, degrees): 3.6138 3.6138 16.4316 90.00 90.00 120.00
Space group R3m (No. 160, hexagonal axes)
One atom of each set of equivalent atoms:
Nb: 0.0000 0.0000 0.0000 x3
Tc: 0.0000 0.0000 0.1825 x3
P: 0.0000 0.0000 0.4284 x3
P: 0.0000 0.0000 0.5771 x3


A plane-wave DFT calculation with PBE was carried out for an optimized crystal structure of Pm2DyIr.

## Properties
Theoretical density in g/cm3: 9.41
Energy above the most stable polymorph in this dataset in kcal/mol of atoms: 5.63
Density of states at the Fermi level in states/eV/cell: 5.4
Crystal system: tetragonal
ΔH_f (0 K) in meV per atom: -258.1

Lattice parameters (Å, degrees): 3.5933 3.5933 8.8088 90.00 90.00 90.00
Space group P4/mmm (No. 123)
One atom of each set of equivalent atoms:
Pm: 0.0000 0.0000 0.1877 x2
Dy: 0.5000 0.5000 0.5000 x1
Ir: 0.5000 0.5000 0.0000 x1


A plane-wave DFT calculation with PBE was carried out for an optimized crystal structure of Sc4GaPb.

## Properties
Theoretical density in g/cm3: 5.19
Density of states at the Fermi level in states/eV/cell: 33.7
Crystal system: monoclinic
ΔH_f (0 K) in meV per atom: -174.3

Lattice parameters (Å, degrees): 15.5652 5.8709 6.5430 90.00 101.94 90.00
Space group C2/c (No. 15)
One atom of each set of equivalent atoms:
Sc: 0.0803 0.1071 0.4355 x8
Sc: 0.1643 0.3789 0.1061 x8
Ga: 0.2500 0.2500 0.5000 x4
Pb: 0.0000 0.3917 0.7500 x4


A plane-wave DFT calculation with PBE was carried out for an optimized crystal structure of NaHf2Zr.

## Properties
Theoretical density in g/cm3: 8.18
Energy above the most stable polymorph in this dataset in kcal/mol of atoms: 5.87
Density of states at the Fermi level in states/eV/cell: 26.5
Crystal system: tetragonal
ΔH_f (0 K) in meV per atom: 892.6

Lattice parameters (Å, degrees): 4.2557 4.2557 21.1243 90.00 90.00 90.00
Space group I-42d (No. 122)
One atom of each set of equivalent atoms:
Na: 0.0000 0.0000 0.0000 x4
Hf: 0.2384 0.2500 0.6250 x8
Zr: 0.0000 0.0000 0.5000 x4


A plane-wave DFT calculation with PBE was carried out for an optimized crystal structure of CdSiW4.

## Properties
Theoretical density in g/cm3: 13.61
Density of states at the Fermi level in states/eV/cell: 16.4
Uncorrected formation energy in meV per atom: 799
Crystal system: cubic

Lattice parameters (Å, degrees): 7.5333 7.5333 7.5333 90.00 90.00 90.00
Space group F-43m (No. 216)
One atom of each set of equivalent atoms:
Cd: 0.0000 0.0000 0.0000 x4
Si: 0.2500 0.2500 0.7500 x4
W: 0.1261 0.1261 0.3739 x16


A plane-wave DFT calculation with PBE was carried out for an optimized crystal structure of Rb4Ce3NdS8.

## Properties
Theoretical density in g/cm3: 4.03
Density of states at the Fermi level in states/eV/cell: 55.1
Uncorrected formation energy in meV per atom: -1778
Crystal system: trigonal

Lattice parameters (Å, degrees): 8.4870 8.4870 23.0566 90.00 90.00 120.00
Space group R-3m (No. 166, hexagonal axes)
One atom of each set of equivalent atoms:
Rb: 0.0000 0.0000 0.0000 x3
Rb: 0.0000 0.5000 0.0000 x9
Ce: 0.0000 0.5000 0.5000 x9
Nd: 0.0000 0.0000 0.5000 x3
S: 0.0000 0.0000 0.2318 x6
S: 0.9998 0.4999 0.2321 x18


A plane-wave DFT calculation with PBE was carried out for an optimized crystal structure of SrAl2Tl.

## Properties
Theoretical density in g/cm3: 5.19
Energy above the most stable polymorph in this dataset in kcal/mol of atoms: 0.00
Density of states at the Fermi level in states/eV/cell: 4.4
Crystal system: trigonal
ΔH_f (0 K) in meV per atom: -162.1

Lattice parameters (Å, degrees): 4.5797 4.5797 18.2984 90.00 90.00 120.00
Space group R3m (No. 160, hexagonal axes)
One atom of each set of equivalent atoms:
Sr: 0.0000 0.0000 0.0000 x3
Al: 0.0000 0.0000 0.2152 x3
Al: 0.0000 0.0000 0.5471 x3
Tl: 0.0000 0.0000 0.7862 x3


A plane-wave DFT calculation with PBE was carried out for an optimized crystal structure of Ac3IrO6F2.

## Properties
Theoretical density in g/cm3: 7.63
Density of states at the Fermi level in states/eV/cell: 11.6
Uncorrected formation energy in meV per atom: -2487
Crystal system: monoclinic

Lattice parameters (Å, degrees): 11.9997 6.9907 5.2391 90.00 93.57 90.00
Space group C2/m (No. 12)
One atom of each set of equivalent atoms:
Ac: 0.0000 0.0000 0.0000 x2
Ac: 0.2500 0.2500 0.5000 x4
Ir: 0.0000 0.5000 0.5000 x2
O: 0.0629 0.2748 0.2950 x8
O: 0.1474 0.5000 0.6988 x4
F: 0.1831 0.0000 0.8037 x4


A plane-wave DFT calculation with PBE was carried out for an optimized crystal structure of Pm2NdMg.

## Properties
Theoretical density in g/cm3: 5.96
Energy above the most stable polymorph in this dataset in kcal/mol of atoms: 0.00
Density of states at the Fermi level in states/eV/cell: 4.2
Crystal system: tetragonal
ΔH_f (0 K) in meV per atom: -39.8

Lattice parameters (Å, degrees): 3.7459 3.7459 9.1037 90.00 90.00 90.00
Space group P4/mmm (No. 123)
One atom of each set of equivalent atoms:
Pm: 0.0000 0.0000 0.2246 x2
Nd: 0.5000 0.5000 0.5000 x1
Mg: 0.5000 0.5000 0.0000 x1


A plane-wave DFT calculation with PBE was carried out for an optimized crystal structure of Sc3Te2Pb.

## Properties
Theoretical density in g/cm3: 5.16
Energy above the most stable polymorph in this dataset in kcal/mol of atoms: 4.93
Density of states at the Fermi level in states/eV/cell: 15.3
Uncorrected formation energy in meV per atom: -680
Crystal system: orthorhombic

Lattice parameters (Å, degrees): 14.9528 8.7969 5.8414 90.00 90.00 90.00
Space group Cmcm (No. 63)
One atom of each set of equivalent atoms:
Sc: 0.0000 0.1664 0.2500 x4
Sc: 0.1662 0.3335 0.7500 x8
Te: 0.1675 0.3365 0.2500 x8
Pb: 0.0000 0.1656 0.7500 x4


A plane-wave DFT calculation with PBE was carried out for an optimized crystal structure of PaIn2Ni7As2.

## Properties
Theoretical density in g/cm3: 8.64
Density of states at the Fermi level in states/eV/cell: 16.2
Crystal system: monoclinic
ΔH_f (0 K) in meV per atom: -172.1

Lattice parameters (Å, degrees): 5.3497 5.3483 13.7745 90.00 95.32 90.00
Space group C2/m (No. 12)
One atom of each set of equivalent atoms:
Pa: 0.0000 0.0000 0.0000 x2
In: 0.1148 0.0000 0.4020 x4
Ni: 0.0000 0.5000 0.0000 x2
Ni: 0.1088 0.5000 0.4178 x4
Ni: 0.2111 0.2510 0.8589 x8
As: 0.0673 0.5000 0.2481 x4


A plane-wave DFT calculation with PBE was carried out for an optimized crystal structure of Os2RuBr.

## Properties
Theoretical density in g/cm3: 10.71
Energy above the most stable polymorph in this dataset in kcal/mol of atoms: 19.03
Density of states at the Fermi level in states/eV/cell: 22.6
Uncorrected formation energy in meV per atom: 1549
Crystal system: tetragonal

Lattice parameters (Å, degrees): 5.9407 5.9407 9.8672 90.00 90.00 90.00
Space group I-42d (No. 122)
One atom of each set of equivalent atoms:
Os: 0.2301 0.2500 0.1250 x8
Ru: 0.0000 0.0000 0.0000 x4
Br: 0.0000 0.0000 0.5000 x4


A plane-wave DFT calculation with PBE was carried out for an optimized crystal structure of CsSn2GeCl8.

## Properties
Theoretical density in g/cm3: 2.86
Density of states at the Fermi level in states/eV/cell: 2.6
Uncorrected formation energy in meV per atom: -1045
Crystal system: triclinic

Lattice parameters (Å, degrees): 6.7794 6.8044 9.3866 81.29 82.62 82.57
Space group P-1 (No. 2)
One atom of each set of equivalent atoms:
Cs: 0.0000 0.0000 0.0000 x1
Sn: 0.4667 0.4535 0.2544 x2
Ge: 0.0000 0.0000 0.5000 x1
Cl: 0.1764 0.7686 0.6963 x2
Cl: 0.1909 0.7891 0.3214 x2
Cl: 0.2866 0.2313 0.4679 x2
Cl: 0.3747 0.2813 0.0537 x2


A plane-wave DFT calculation with PBE was carried out for an optimized crystal structure of B2C.

## Properties
Theoretical density in g/cm3: 2.54
Energy above the most stable polymorph in this dataset in kcal/mol of atoms: 8.29
Density of states at the Fermi level in states/eV/cell: 3.8
Crystal system: tetragonal
ΔH_f (0 K) in meV per atom: 544.7

Lattice parameters (Å, degrees): 2.6875 2.6875 12.1831 90.00 90.00 90.00
Space group P-4m2 (No. 115)
One atom of each set of equivalent atoms:
B: 0.0000 0.0000 0.0000 x1
B: 0.0000 0.0000 0.2937 x2
B: 0.0000 0.5000 0.4013 x2
B: 0.5000 0.5000 0.1480 x2
B: 0.5000 0.5000 0.5000 x1
C: 0.0000 0.5000 0.0781 x2
C: 0.0000 0.5000 0.7661 x2


A plane-wave DFT calculation with PBE was carried out for an optimized crystal structure of Y7Er.

## Properties
Theoretical density in g/cm3: 5.09
Energy above the most stable polymorph in this dataset in kcal/mol of atoms: 0.38
Density of states at the Fermi level in states/eV/cell: 29.7
Crystal system: orthorhombic
ΔH_f (0 K) in meV per atom: 44.1

Lattice parameters (Å, degrees): 3.5441 11.1668 13.0240 90.00 90.00 90.00
Space group Immm (No. 71)
One atom of each set of equivalent atoms:
Y: 0.0000 0.0000 0.0000 x2
Y: 0.0000 0.0000 0.2603 x4
Y: 0.0000 0.2674 0.3677 x8
Er: 0.0000 0.5000 0.0000 x2


A plane-wave DFT calculation with PBE was carried out for an optimized crystal structure of Rb2ZnAsBr6.

## Properties
Theoretical density in g/cm3: 4.07
Density of states at the Fermi level in states/eV/cell: 4.8
Uncorrected formation energy in meV per atom: -969
Crystal system: tetragonal

Lattice parameters (Å, degrees): 7.7313 7.7313 10.7866 90.00 90.00 90.00
Space group I4/mmm (No. 139)
One atom of each set of equivalent atoms:
Rb: 0.0000 0.5000 0.2500 x4
Zn: 0.0000 0.0000 0.0000 x2
As: 0.0000 0.0000 0.5000 x2
Br: 0.0000 0.0000 0.2445 x4
Br: 0.2479 0.2479 0.5000 x8


A plane-wave DFT calculation with PBE was carried out for an optimized crystal structure of Tl2AsOs.

## Properties
Theoretical density in g/cm3: 13.66
Energy above the most stable polymorph in this dataset in kcal/mol of atoms: 15.72
Density of states at the Fermi level in states/eV/cell: 7.0
Crystal system: monoclinic
ΔH_f (0 K) in meV per atom: 940.2

Lattice parameters (Å, degrees): 6.3439 8.1649 3.1632 90.00 90.54 90.00
Space group C2/m (No. 12)
One atom of each set of equivalent atoms:
Tl: 0.2500 0.2500 0.0000 x4
As: 0.0000 0.0000 0.5000 x2
Os: 0.0000 0.5000 0.5000 x2